No. 1
The following is a GGA-PBE calculation of an optimized crystal structure of FeIrOs2, from Alexandria via LeMat-Bulk.

Cell and atoms, written as POSCAR:
```
FeIrOs2
1.0
2.713 0.000 0.000
0.000 2.713 0.000
0.000 0.000 7.488
Fe Ir Os
1 1 2
direct
0.000 0.000 0.000
0.500 0.500 0.243
0.000 0.000 0.503
0.500 0.500 0.757
```

- Energy of formation from the pure elements: 8.4 kJ/mol of atoms
- Magnetization: 2.16 μB per formula unit
- Fermi-level density of states: 4.97 states/eV per cell
- E_tot: -39.43 eV/cell

***

No. 2
The following is a GGA-PBE calculation of an optimized crystal structure of FeIr2Os, from Alexandria via LeMat-Bulk.

Cell and atoms, written as POSCAR:
```
FeIr2Os
1.0
-1.900 1.900 3.830
1.900 -1.900 3.830
1.900 1.900 -3.830
Fe Ir Os
1 2 1
direct
0.000 0.000 0.000
0.250 0.750 0.500
0.750 0.250 0.500
0.500 0.500 0.000
```

- Energy of formation from the pure elements: -0.9 kJ/mol of atoms
- Magnetization: 2.43 μB per formula unit
- Fermi-level density of states: 3.63 states/eV per cell
- E_tot: -37.45 eV/cell

***

No. 3
The following is a GGA-PBE calculation of an optimized crystal structure of FeIr6Os2, from Alexandria via LeMat-Bulk.

Cell and atoms, written as POSCAR:
```
FeIr6Os2
1.0
2.643 1.526 5.970
-2.643 1.526 5.970
0.000 -3.051 5.970
Fe Ir Os
1 6 2
direct
0.000 0.000 0.000
0.239 0.720 0.720
0.444 0.935 0.935
0.720 0.239 0.720
0.720 0.720 0.239
0.935 0.444 0.935
0.935 0.935 0.444
0.265 0.265 0.265
0.393 0.393 0.393
```

- Energy of formation from the pure elements: 44.7 kJ/mol of atoms
- Magnetization: 2.07 μB per formula unit
- Fermi-level density of states: 10.33 states/eV per cell
- E_tot: -79.91 eV/cell

***

Which of these has the highest Fermi-level density of states? FeIr6Os2

***

Look up the energy of formation from the pure elements of the first one. 8.4 kJ/mol of atoms